Material: Sc2Hg2Bi
Method: DFT, GGA-PBE
State: optimized geometry

a = 7.954 Å, b = 7.954 Å, c = 3.906 Å
α = 90.00°, β = 90.00°, γ = 90.00°
Space group P4/mbm (No. 127)
One atom of each set of equivalent atoms:
Sc: 0.157 0.343 0.000
Hg: 0.142 0.642 0.500
Bi: 0.000 0.000 0.000

Output
Calculated formation energy (kJ/mol of formula units): -134
Energy above the most stable polymorph in this dataset (meV per atom): 91
Calculated density (Mg/m³): 9.41
VASP energy (eV per atom): -3.71